Record 1
Material: BaInTc2
Method: DFT, PBE
State: optimized geometry

a = 3.823 Å, b = 4.730 Å, c = 12.258 Å
α = 90.00°, β = 90.00°, γ = 90.00°
Space group Imm2 (No. 44)
Unique sites:
Ba 0.000 0.000 0.000 x2
In 0.000 0.500 0.757 x2
Tc 0.000 0.000 0.628 x2
Tc 0.000 0.500 0.236 x2

Values from the calculation:
energy above the lowest structure with this stoichiometry	0.310	eV/atom
ρ	6.71	Mg/m³
formation energy	523	meV per atom
spin magnetization	0.00	Bohr magnetons per cell
crystal system	orthorhombic

---

Record 2
Material: Ba2InTc
Method: DFT, PBE
State: optimized geometry

a = 3.832 Å, b = 3.832 Å, c = 9.481 Å
α = 90.00°, β = 90.00°, γ = 90.00°
Space group P4mm (No. 99)
Unique sites:
Ba 0.000 0.000 0.000 x1
Ba 0.500 0.500 0.423 x1
In 0.000 0.000 0.661 x1
Tc 0.500 0.500 0.743 x1

Values from the calculation:
energy above the lowest structure with this stoichiometry	0.000	eV/atom
ρ	5.81	Mg/m³
formation energy	300	meV per atom
spin magnetization	0.00	Bohr magnetons per cell
crystal system	tetragonal

---

Record 3
Material: BaInTc
Method: DFT, PBE
State: optimized geometry

a = 7.612 Å, b = 7.612 Å, c = 7.612 Å
α = 90.00°, β = 90.00°, γ = 90.00°
Space group F-43m (No. 216)
Unique sites:
Ba 0.000 0.000 0.000 x4
In 0.250 0.250 0.250 x4
Tc 0.250 0.250 0.750 x4

Values from the calculation:
energy above the lowest structure with this stoichiometry	1.000	eV/atom
ρ	5.27	Mg/m³
formation energy	1427	meV per atom
spin magnetization	11.38	Bohr magnetons per cell
crystal system	cubic

---

Record 4
Material: BaInTc
Method: DFT, PBE
State: optimized geometry

a = 4.7207 Å, b = 4.7207 Å, c = 4.8579 Å
α = 90.00°, β = 90.00°, γ = 120.00°
Space group P-6m2 (No. 187)
Unique sites:
Ba 0.0000 0.0000 0.0000 x1
In 0.6667 0.3333 0.5000 x1
Tc 0.3333 0.6667 0.5000 x1

Values from the calculation:
energy above the lowest structure with this stoichiometry	0.100	eV/atom
ρ	6.20	Mg/m³
formation energy	527	meV per atom
spin magnetization	1.49	Bohr magnetons per cell
crystal system	hexagonal

---

Record 5
Material: BaInTc2
Method: DFT, PBE
State: optimized geometry

a = 3.232 Å, b = 3.247 Å, c = 8.547 Å
α = 90.00°, β = 90.00°, γ = 90.00°
Space group Pmm2 (No. 25)
Unique sites:
Ba 0.000 0.000 0.000 x1
In 0.500 0.500 0.669 x1
Tc 0.000 0.000 0.442 x1
Tc 0.500 0.500 0.306 x1

Values from the calculation:
energy above the lowest structure with this stoichiometry	0.052	eV/atom
ρ	8.30	Mg/m³
formation energy	265	meV per atom
spin magnetization	0.00	Bohr magnetons per cell
crystal system	orthorhombic

---

Record 6
Material: Ba2InTc
Method: DFT, PBE
State: optimized geometry

a = 8.144 Å, b = 8.144 Å, c = 8.144 Å
α = 90.00°, β = 90.00°, γ = 90.00°
Space group Fm-3m (No. 225)
Unique sites:
Ba 0.250 0.250 0.250 x8
In 0.000 0.000 0.000 x4
Tc 0.000 0.000 0.500 x4

Values from the calculation:
energy above the lowest structure with this stoichiometry	0.290	eV/atom
ρ	5.99	Mg/m³
formation energy	589	meV per atom
spin magnetization	8.22	Bohr magnetons per cell
crystal system	cubic

---

Repeat the second record exactly.
Material: Ba2InTc
Method: DFT, PBE
State: optimized geometry

a = 3.832 Å, b = 3.832 Å, c = 9.481 Å
α = 90.00°, β = 90.00°, γ = 90.00°
Space group P4mm (No. 99)
Unique sites:
Ba 0.000 0.000 0.000 x1
Ba 0.500 0.500 0.423 x1
In 0.000 0.000 0.661 x1
Tc 0.500 0.500 0.743 x1

Values from the calculation:
energy above the lowest structure with this stoichiometry	0.000	eV/atom
ρ	5.81	Mg/m³
formation energy	300	meV per atom
spin magnetization	0.00	Bohr magnetons per cell
crystal system	tetragonal

---

- Look up the spin magnetization of the fourth one.
  1.49 Bohr magnetons per cell

---

- Which of these has the highest spin magnetization?
  number 3

---

- spin magnetization of number 2 (Ba2InTc)?
  0.00 Bohr magnetons per cell